No. 1
The following is a PBE-GGA calculation of a geometry-optimized ZrAg2PbCl8 structure, from Alexandria.

Summary:
Space-group type   P-1, No. 2
Total magnetization   0.00 μB/f.u.

Lattice parameters (Å, degrees): 6.683 6.864 8.375 75.63 90.84 100.21
Fractional positions:
Cl 0.866 0.198 0.173
Zr 0.000 0.000 0.000
Ag 0.482 0.649 0.292
Cl 0.897 0.233 0.738
Cl 0.388 0.259 0.439
Cl 0.134 0.802 0.827
Cl 0.612 0.741 0.561
Ag 0.518 0.351 0.708
Cl 0.103 0.767 0.262
Pb 0.000 0.000 0.500
Cl 0.665 0.773 0.014
Cl 0.335 0.227 0.986

***

No. 2
The following is a PBE-GGA calculation of a geometry-optimized AgPdCl structure, from Alexandria.

Summary:
Space-group type   Amm2, No. 38
Total magnetization   0.00 μB/f.u.

Lattice parameters (Å, degrees): 3.352 3.353 11.454 90.00 90.00 119.99
Fractional positions:
Cl 0.110 0.220 0.827
Ag 0.443 0.887 0.000
Pd 0.779 0.557 0.670
Ag 0.446 0.891 0.500
Cl 0.110 0.220 0.173
Pd 0.779 0.557 0.330

***

No. 3
The following is a PBE-GGA calculation of a geometry-optimized Ag2PdCl structure, from Alexandria.

Summary:
Space-group type   Fm-3m, No. 225
E above lowest polymorph   0.0000 eV per atom
Total magnetization   0.00 μB/f.u.

Lattice parameters (Å, degrees): 4.700 4.700 4.700 60.00 60.00 60.00
Fractional positions:
Ag 0.250 0.250 0.250
Cl 0.000 0.000 0.000
Ag 0.750 0.750 0.750
Pd 0.500 0.500 0.500

***

No. 4
The following is a PBE-GGA calculation of a geometry-optimized AgPd2Cl2 structure, from Alexandria.

Summary:
Space-group type   P4/mbm, No. 127
Total magnetization   0.00 μB/f.u.

Lattice parameters (Å, degrees): 7.160 7.160 3.606 90.00 90.00 90.00
Fractional positions:
Pd 0.362 0.862 0.000
Cl 0.819 0.319 0.500
Pd 0.862 0.638 0.000
Pd 0.638 0.138 0.000
Pd 0.138 0.362 0.000
Ag 0.000 0.000 0.000
Cl 0.681 0.819 0.500
Cl 0.319 0.181 0.500
Cl 0.181 0.681 0.500
Ag 0.500 0.500 0.000

***

No. 5
The following is a PBE-GGA calculation of a geometry-optimized AgPd3Cl structure, from Alexandria.

Summary:
Space-group type   Pm-3m, No. 221
E above lowest polymorph   0.0000 eV per atom
Total magnetization   0.00 μB/f.u.

Lattice parameters (Å, degrees): 4.539 4.539 4.539 90.00 90.00 90.00
Fractional positions:
Pd 0.000 0.500 0.000
Pd 0.000 0.000 0.500
Cl 0.000 0.000 0.000
Pd 0.500 0.000 0.000
Ag 0.500 0.500 0.500

***

No. 6
The following is a PBE-GGA calculation of a geometry-optimized Ag2Pd2Cl structure, from Alexandria.

Summary:
Space-group type   P4/mbm, No. 127
Total magnetization   0.00 μB/f.u.

Lattice parameters (Å, degrees): 6.659 6.659 4.141 90.00 90.00 90.00
Fractional positions:
Ag 0.350 0.150 0.500
Pd 0.152 0.348 0.000
Ag 0.650 0.850 0.500
Pd 0.652 0.152 0.000
Ag 0.150 0.650 0.500
Ag 0.850 0.350 0.500
Cl 0.000 0.000 0.000
Pd 0.348 0.848 0.000
Cl 0.500 0.500 0.000
Pd 0.848 0.652 0.000

***

no.,E_form (uncorrected) (eV/atom),energy (eV per cell)
1,-1.168,-46.74
2,0.031,-19.59
3,0.164,-12.09
4,0.123,-32.63
5,0.343,-18.56
6,0.115,-34.72